1.
# Sm4Ho3Sb4 GGA-PBE relaxed
# Crystal system: orthorhombic
# Magnetic moment, Bohr magnetons per cell: 0.0
# Formation energy (no corrections), eV/f.u.: -8.408
data_Sm4Ho3Sb4
_cell_length_a 4.031
_cell_length_b 9.078
_cell_length_c 10.180
_cell_angle_alpha 116.48
_cell_angle_beta 101.42
_cell_angle_gamma 90.00
_space_group_name_H-M_alt 'P 1'
_space_group_IT_number 1
loop_
_space_group_symop_operation_xyz
'x,y,z'
loop_
_atom_site_label
_atom_site_fract_x
_atom_site_fract_y
_atom_site_fract_z
Sb1 0.500 0.790 0.000
Sb2 0.500 0.210 0.000
Sb3 0.728 0.228 0.456
Sb4 0.272 0.772 0.544
Sm1 0.332 0.156 0.664
Sm2 0.668 0.492 0.336
Sm3 0.668 0.844 0.336
Sm4 0.332 0.508 0.664
Ho1 0.000 0.500 0.000
Ho2 0.096 0.096 0.193
Ho3 0.904 0.904 0.807

---

2.
# Sm4HoSb2 GGA-PBE relaxed
# Crystal system: tetragonal
# Magnetic moment, Bohr magnetons per cell: 0.0
# Formation energy (no corrections), eV/f.u.: 0.966
data_Sm4HoSb2
_cell_length_a 5.352
_cell_length_b 5.352
_cell_length_c 9.214
_cell_angle_alpha 106.88
_cell_angle_beta 106.88
_cell_angle_gamma 90.00
_space_group_name_H-M_alt 'P 1'
_space_group_IT_number 1
loop_
_space_group_symop_operation_xyz
'x,y,z'
loop_
_atom_site_label
_atom_site_fract_x
_atom_site_fract_y
_atom_site_fract_z
Sb1 0.633 0.633 0.266
Sb2 0.367 0.367 0.734
Sm1 0.816 0.816 0.632
Sm2 0.000 0.500 0.000
Sm3 0.500 0.000 0.000
Sm4 0.184 0.184 0.368
Ho1 0.000 0.000 0.000

---

3.
# Sm5HoSb5 GGA-PBE relaxed
# Crystal system: monoclinic
# Magnetic moment, Bohr magnetons per cell: 0.0
# Formation energy (no corrections), eV/f.u.: -10.746
data_Sm5HoSb5
_cell_length_a 6.251
_cell_length_b 7.636
_cell_length_c 8.815
_cell_angle_alpha 106.91
_cell_angle_beta 90.00
_cell_angle_gamma 114.16
_space_group_name_H-M_alt 'P 1'
_space_group_IT_number 1
loop_
_space_group_symop_operation_xyz
'x,y,z'
loop_
_atom_site_label
_atom_site_fract_x
_atom_site_fract_y
_atom_site_fract_z
Sm1 0.335 0.671 0.169
Sm2 0.331 0.661 0.667
Sm3 0.669 0.339 0.333
Sm4 0.000 0.000 0.500
Sm5 0.665 0.329 0.831
Sb1 0.834 0.667 0.165
Sb2 0.500 0.000 0.000
Sb3 0.166 0.333 0.835
Sb4 0.165 0.330 0.332
Sb5 0.835 0.670 0.668
Ho1 0.000 0.000 0.000

---

4.
# Sm5HoSb6 GGA-PBE relaxed
# Crystal system: monoclinic
# Magnetic moment, Bohr magnetons per cell: 0.0
# Formation energy (no corrections), eV/f.u.: -13.976
data_Sm5HoSb6
_cell_length_a 7.716
_cell_length_b 7.716
_cell_length_c 7.716
_cell_angle_alpha 60.00
_cell_angle_beta 80.39
_cell_angle_gamma 70.50
_space_group_name_H-M_alt 'P 1'
_space_group_IT_number 1
loop_
_space_group_symop_operation_xyz
'x,y,z'
loop_
_atom_site_label
_atom_site_fract_x
_atom_site_fract_y
_atom_site_fract_z
Sb1 0.751 0.753 0.000
Sb2 0.753 0.082 0.330
Sb3 0.247 0.588 0.330
Sb4 0.249 0.247 0.000
Sb5 0.247 0.918 0.670
Sb6 0.753 0.412 0.670
Sm1 0.500 0.832 0.336
Sm2 0.000 0.666 0.668
Sm3 0.500 0.500 0.000
Sm4 0.500 0.168 0.664
Sm5 0.000 0.334 0.332
Ho1 0.000 0.000 0.000

---

5.
# SmHo4Sb2 GGA-PBE relaxed
# Crystal system: tetragonal
# Magnetic moment, Bohr magnetons per cell: 0.0
# Formation energy (no corrections), eV/f.u.: 1.987
data_SmHo4Sb2
_cell_length_a 5.273
_cell_length_b 5.273
_cell_length_c 9.013
_cell_angle_alpha 107.01
_cell_angle_beta 107.01
_cell_angle_gamma 90.00
_space_group_name_H-M_alt 'P 1'
_space_group_IT_number 1
loop_
_space_group_symop_operation_xyz
'x,y,z'
loop_
_atom_site_label
_atom_site_fract_x
_atom_site_fract_y
_atom_site_fract_z
Sb1 0.367 0.367 0.734
Sb2 0.633 0.633 0.266
Ho1 0.816 0.816 0.632
Ho2 0.184 0.184 0.368
Ho3 0.000 0.500 0.000
Ho4 0.500 0.000 0.000
Sm1 0.000 0.000 0.000

---

6.
# Tb3Sm2HoSb6 GGA-PBE relaxed
# Crystal system: monoclinic
# Magnetic moment, Bohr magnetons per cell: 0.0
# Formation energy (no corrections), eV/f.u.: -13.807
data_Tb3Sm2HoSb6
_cell_length_a 4.420
_cell_length_b 8.838
_cell_length_c 9.880
_cell_angle_alpha 102.89
_cell_angle_beta 102.92
_cell_angle_gamma 90.00
_space_group_name_H-M_alt 'P 1'
_space_group_IT_number 1
loop_
_space_group_symop_operation_xyz
'x,y,z'
loop_
_atom_site_label
_atom_site_fract_x
_atom_site_fract_y
_atom_site_fract_z
Sm1 0.166 0.333 0.332
Sm2 0.834 0.667 0.668
Tb1 0.168 0.834 0.335
Tb2 0.832 0.166 0.665
Tb3 0.500 0.500 0.000
Ho1 0.500 0.000 0.000
Sb1 0.998 0.248 0.997
Sb2 0.666 0.586 0.332
Sb3 0.334 0.414 0.668
Sb4 0.666 0.080 0.331
Sb5 0.002 0.752 0.003
Sb6 0.334 0.920 0.669

---

7.
# TbSmHo2Sb4 GGA-PBE relaxed
# Crystal system: monoclinic
# Magnetic moment, Bohr magnetons per cell: 0.0
# Formation energy (no corrections), eV/f.u.: -9.093
data_TbSmHo2Sb4
_cell_length_a 4.406
_cell_length_b 7.624
_cell_length_c 7.625
_cell_angle_alpha 70.52
_cell_angle_beta 90.00
_cell_angle_gamma 90.00
_space_group_name_H-M_alt 'P 1'
_space_group_IT_number 1
loop_
_space_group_symop_operation_xyz
'x,y,z'
loop_
_atom_site_label
_atom_site_fract_x
_atom_site_fract_y
_atom_site_fract_z
Ho1 0.500 0.000 0.500
Ho2 0.000 0.000 0.000
Sm1 0.500 0.500 0.000
Sb1 0.000 0.245 0.254
Sb2 0.500 0.246 0.749
Sb3 0.500 0.754 0.251
Sb4 0.000 0.755 0.746
Tb1 0.000 0.500 0.500

---

8.
# TbSm2Ho3Sb6 GGA-PBE relaxed
# Crystal system: monoclinic
# Magnetic moment, Bohr magnetons per cell: 0.0
# Formation energy (no corrections), eV/f.u.: -13.671
data_TbSm2Ho3Sb6
_cell_length_a 4.408
_cell_length_b 8.814
_cell_length_c 9.854
_cell_angle_alpha 102.86
_cell_angle_beta 102.93
_cell_angle_gamma 90.00
_space_group_name_H-M_alt 'P 1'
_space_group_IT_number 1
loop_
_space_group_symop_operation_xyz
'x,y,z'
loop_
_atom_site_label
_atom_site_fract_x
_atom_site_fract_y
_atom_site_fract_z
Ho1 0.167 0.834 0.334
Ho2 0.833 0.166 0.666
Ho3 0.500 0.500 0.000
Sb1 0.335 0.413 0.670
Sb2 0.333 0.921 0.666
Sb3 0.665 0.587 0.330
Sb4 0.998 0.251 0.996
Sb5 0.667 0.079 0.334
Sb6 0.002 0.749 0.004
Tb1 0.500 0.000 0.000
Sm1 0.166 0.333 0.333
Sm2 0.834 0.667 0.667

---

9.
# Sm2HoSb2Te2 GGA-PBE relaxed
# Crystal system: tetragonal
# Magnetic moment, Bohr magnetons per cell: 0.0
# Formation energy (no corrections), eV/f.u.: -5.193
data_Sm2HoSb2Te2
_cell_length_a 5.714
_cell_length_b 5.714
_cell_length_c 8.718
_cell_angle_alpha 109.13
_cell_angle_beta 109.13
_cell_angle_gamma 90.00
_space_group_name_H-M_alt 'P 1'
_space_group_IT_number 1
loop_
_space_group_symop_operation_xyz
'x,y,z'
loop_
_atom_site_label
_atom_site_fract_x
_atom_site_fract_y
_atom_site_fract_z
Sm1 0.386 0.386 0.772
Sm2 0.614 0.614 0.228
Te1 0.195 0.195 0.389
Te2 0.805 0.805 0.611
Sb1 0.500 0.000 0.000
Sb2 0.000 0.500 0.000
Ho1 0.000 0.000 0.000

---

10.
# SmHo3Th2Sb6 GGA-PBE relaxed
# Crystal system: monoclinic
# Magnetic moment, Bohr magnetons per cell: 0.0
# Formation energy (no corrections), eV/f.u.: -12.757
data_SmHo3Th2Sb6
_cell_length_a 4.442
_cell_length_b 8.845
_cell_length_c 9.901
_cell_angle_alpha 102.68
_cell_angle_beta 102.96
_cell_angle_gamma 90.00
_space_group_name_H-M_alt 'P 1'
_space_group_IT_number 1
loop_
_space_group_symop_operation_xyz
'x,y,z'
loop_
_atom_site_label
_atom_site_fract_x
_atom_site_fract_y
_atom_site_fract_z
Ho1 0.166 0.834 0.333
Ho2 0.834 0.166 0.667
Ho3 0.500 0.500 0.000
Sb1 0.998 0.254 0.995
Sb2 0.335 0.411 0.670
Sb3 0.668 0.077 0.336
Sb4 0.665 0.589 0.330
Sb5 0.002 0.746 0.005
Sb6 0.332 0.923 0.664
Th1 0.165 0.331 0.330
Th2 0.835 0.669 0.670
Sm1 0.500 0.000 0.000

---

11.
# Sm2HoTh3Sb6 GGA-PBE relaxed
# Crystal system: monoclinic
# Magnetic moment, Bohr magnetons per cell: 0.0
# Formation energy (no corrections), eV/f.u.: -12.460
data_Sm2HoTh3Sb6
_cell_length_a 4.479
_cell_length_b 8.920
_cell_length_c 9.997
_cell_angle_alpha 102.72
_cell_angle_beta 102.95
_cell_angle_gamma 90.00
_space_group_name_H-M_alt 'P 1'
_space_group_IT_number 1
loop_
_space_group_symop_operation_xyz
'x,y,z'
loop_
_atom_site_label
_atom_site_fract_x
_atom_site_fract_y
_atom_site_fract_z
Sb1 0.333 0.419 0.666
Sb2 0.000 0.757 0.000
Sb3 0.664 0.084 0.328
Sb4 0.000 0.243 0.000
Sb5 0.667 0.581 0.334
Sb6 0.336 0.916 0.672
Th1 0.168 0.834 0.336
Th2 0.832 0.166 0.664
Th3 0.500 0.500 0.000
Sm1 0.167 0.333 0.333
Sm2 0.833 0.667 0.667
Ho1 0.500 0.000 0.000

---

12.
# Sm2HoThSb4 GGA-PBE relaxed
# Crystal system: monoclinic
# Magnetic moment, Bohr magnetons per cell: 0.0
# Formation energy (no corrections), eV/f.u.: -8.866
data_Sm2HoThSb4
_cell_length_a 4.464
_cell_length_b 7.726
_cell_length_c 7.704
_cell_angle_alpha 70.52
_cell_angle_beta 90.00
_cell_angle_gamma 90.00
_space_group_name_H-M_alt 'P 1'
_space_group_IT_number 1
loop_
_space_group_symop_operation_xyz
'x,y,z'
loop_
_atom_site_label
_atom_site_fract_x
_atom_site_fract_y
_atom_site_fract_z
Sb1 0.500 0.254 0.745
Sb2 0.000 0.250 0.254
Sb3 0.000 0.750 0.746
Sb4 0.500 0.746 0.255
Sm1 0.500 0.000 0.500
Sm2 0.000 0.000 0.000
Ho1 0.000 0.500 0.500
Th1 0.500 0.500 0.000